First-principles (PBE-GGA) data for crystalline ZrCu3Ag at its relaxed geometry, as listed in Alexandria.

formation energy from the elements: 0.871 eV/atom
energy above the most stable polymorph in this dataset: 0 kJ/mol of formula units

abc: 4.623 4.623 4.623
angles: 90.00 90.00 90.00
Element x y z (fractional)
Zr  0.000  0.000  0.000
Cu  0.000  0.500  0.500
Cu  0.500  0.000  0.500
Cu  0.500  0.500  0.000
Ag  0.500  0.500  0.500